[1]
Below is ZnInPd5 after structural relaxation, with properties calculated at the PBE level.

Cell: 4.316 4.316 6.299 Å, 90.00 90.00 90.00°
Element x y z (fractional)
Zn (0.500, 0.500, 0.000)
In (0.000, 0.000, 0.500)
Pd (0.000, 0.500, 0.777)
Pd (0.000, 0.500, 0.223)
Pd (0.500, 0.000, 0.777)
Pd (0.500, 0.000, 0.223)
Pd (0.500, 0.500, 0.500)

The formation energy is -0.3245 eV/atom. The symmetry is P4/mmm, No. 123. For the volume, the calculation gives 16.8 Å³ per atom. Its total energy is -4.61 eV/atom. Its offset from the most stable computed form is 0 meV/atom. The calculation puts the total magnetization at 0.000 μB/f.u.


[2]
Below is ZnIn3Pd after structural relaxation, with properties calculated at the PBE level.

Cell: 5.189 5.189 5.189 Å, 90.00 90.00 90.00°
Element x y z (fractional)
Zn (0.500, 0.500, 0.500)
Pd (0.000, 0.000, 0.000)
In (0.000, 0.500, 0.000)
In (0.000, 0.000, 0.500)
In (0.500, 0.000, 0.000)

The formation energy is 0.0120 eV/atom. The symmetry is Pm-3m, No. 221. For the volume, the calculation gives 27.9 Å³ per atom. Its total energy is -2.92 eV/atom. Its offset from the most stable computed form is 0 meV/atom. The calculation puts the total magnetization at 0.000 μB/f.u.


[3]
Below is Zn2InPd8 after structural relaxation, with properties calculated at the PBE level.

Cell: 4.179 6.841 7.335 Å, 117.80 106.55 90.00°
Element x y z (fractional)
Zn (0.192, 0.692, 0.383)
Zn (0.808, 0.308, 0.617)
In (0.500, 0.000, 0.000)
Pd (0.661, 0.880, 0.322)
Pd (0.339, 0.558, 0.678)
Pd (0.152, 0.152, 0.304)
Pd (0.000, 0.303, 0.000)
Pd (0.848, 0.848, 0.696)
Pd (0.661, 0.442, 0.322)
Pd (0.339, 0.120, 0.678)
Pd (0.000, 0.697, 0.000)

The formation energy is -0.3379 eV/atom. The symmetry is Immm, No. 71. For the volume, the calculation gives 16.0 Å³ per atom. Its total energy is -4.60 eV/atom. Its offset from the most stable computed form is 52 meV/atom. The calculation puts the total magnetization at 0.000 μB/f.u.


[4]
Below is ZnIn4Pd5 after structural relaxation, with properties calculated at the PBE level.

Cell: 3.272 3.272 16.117 Å, 90.00 90.00 90.00°
Element x y z (fractional)
Zn (0.000, 0.000, 0.000)
In (0.000, 0.000, 0.191)
In (0.000, 0.000, 0.397)
In (0.000, 0.000, 0.603)
In (0.000, 0.000, 0.809)
Pd (0.500, 0.500, 0.089)
Pd (0.500, 0.500, 0.293)
Pd (0.500, 0.500, 0.500)
Pd (0.500, 0.500, 0.707)
Pd (0.500, 0.500, 0.911)

The formation energy is -0.4908 eV/atom. The symmetry is P4/mmm, No. 123. For the volume, the calculation gives 17.3 Å³ per atom. Its total energy is -4.31 eV/atom. The calculation puts the total magnetization at 0.000 μB/f.u.


[5]
Below is Zn2InPd2 after structural relaxation, with properties calculated at the PBE level.

Cell: 7.372 7.372 2.983 Å, 90.00 90.00 90.00°
Element x y z (fractional)
Zn (0.376, 0.876, 0.000)
Zn (0.876, 0.624, 0.000)
Zn (0.624, 0.124, 0.000)
Zn (0.124, 0.376, 0.000)
Pd (0.171, 0.671, 0.500)
Pd (0.671, 0.829, 0.500)
Pd (0.829, 0.329, 0.500)
Pd (0.329, 0.171, 0.500)
In (0.000, 0.000, 0.000)
In (0.500, 0.500, 0.000)

The formation energy is -0.3878 eV/atom. The symmetry is P4/mbm, No. 127. For the volume, the calculation gives 16.2 Å³ per atom. Its total energy is -3.52 eV/atom. Its offset from the most stable computed form is 13 meV/atom. The calculation puts the total magnetization at 0.000 μB/f.u.


[6]
Below is Zn3InPd after structural relaxation, with properties calculated at the PBE level.

Cell: 4.857 4.857 4.857 Å, 90.00 90.00 90.00°
Element x y z (fractional)
Zn (0.000, 0.500, 0.000)
Zn (0.000, 0.000, 0.500)
Zn (0.500, 0.000, 0.000)
Pd (0.000, 0.000, 0.000)
In (0.500, 0.500, 0.500)

The formation energy is 0.0515 eV/atom. The symmetry is Pm-3m, No. 221. For the volume, the calculation gives 22.9 Å³ per atom. Its total energy is -2.30 eV/atom. Its offset from the most stable computed form is 0 meV/atom. The calculation puts the total magnetization at 0.000 μB/f.u.


- The lowest volume belongs to which entry?
  Zn2InPd8


- Which of these has the lowest volume?
  Zn2InPd8